Record 1
Rb2MgCl4 meta-GGA SCAN single point on PBEsol structure; raw formation energy = -2.185 eV per atom; DOS(E_F) = 0.00 states/eV/f.u.; space-group type = I4/mmm, No. 139
1.0
4.9718 0.0000 0.0000
0.0000 4.9718 0.0000
-2.4859 -2.4859 8.0073
Mg Rb Cl
1 2 4
Cartesian
0.0000 0.0000 0.0000
2.4859 2.4859 2.2807
0.0000 0.0000 5.7265
2.4859 2.4859 5.5187
0.0000 0.0000 2.4885
2.4859 0.0000 0.0000
0.0000 2.4859 0.0000

Record 2
Mg2ReCl meta-GGA SCAN single point on PBEsol structure; raw formation energy = 0.200 eV per atom; DOS(E_F) = 1.17 states/eV/f.u.; excess energy over the best structure of this formula in the dataset = 0.041 eV per atom; space-group type = Imm2, No. 44
1.0
2.8992 0.0000 0.0000
0.0000 4.8443 0.0000
-1.4496 -2.4222 5.1476
Cl Mg Re
1 2 1
Cartesian
0.0000 2.4222 2.1425
1.4496 2.4222 4.9740
1.4496 0.0000 2.9782
1.4496 2.4222 0.2005

Values for DFT total energy, Ha/atom, ordered as above
-0.49172, -0.81052
Values for total magnetization, μB/cell, ordered as above
0.00, 0.00